Record 1
The following is a GGA-PBE calculation of a relaxed NaYNiSe3 crystal, from OQMD.

a b c (Å): 8.1833 3.9613 9.5284
angles (deg): 90.00 106.09 90.00
Element x y z (fractional)
Na  0.2160  0.2500  0.2471
Na  0.7840  0.7500  0.7529
Y  0.3156  0.7500  0.8549
Y  0.6844  0.2500  0.1451
Ni  0.0826  0.2500  0.5910
Ni  0.9174  0.7500  0.4090
Se  0.0668  0.2500  0.8413
Se  0.2091  0.7500  0.5325
Se  0.4392  0.7500  0.1638
Se  0.5608  0.2500  0.8362
Se  0.7909  0.2500  0.4675
Se  0.9332  0.7500  0.1587

Calculated values
* DFT total energy: -5.096 eV per atom
* crystal system: monoclinic
* calculated density: 4.56 g/cm³

***

Record 2
The following is a GGA-PBE calculation of a relaxed NaNi3Sn5 crystal, from OQMD.

a b c (Å): 5.2186 5.2186 7.9773
angles (deg): 90.00 90.00 120.00
Element x y z (fractional)
Na  0.0000  0.0000  0.0000
Ni  0.0000  0.5000  0.5000
Ni  0.5000  0.0000  0.5000
Ni  0.5000  0.5000  0.5000
Sn  0.0000  0.0000  0.5000
Sn  0.3333  0.6667  0.2162
Sn  0.3333  0.6667  0.7838
Sn  0.6667  0.3333  0.2162
Sn  0.6667  0.3333  0.7838

Calculated values
* DFT total energy: -4.406 eV per atom
* crystal system: hexagonal
* calculated density: 7.00 g/cm³

***

Record 3
The following is a GGA-PBE calculation of a relaxed NaNi2Sn2 crystal, from OQMD.

a b c (Å): 6.4301 6.4301 6.4301
angles (deg): 141.91 141.91 54.97
Element x y z (fractional)
Na  0.0000  0.0000  0.0000
Ni  0.2500  0.7500  0.5000
Ni  0.7500  0.2500  0.5000
Sn  0.3721  0.3721  0.0000
Sn  0.6279  0.6279  0.0000

Calculated values
* DFT total energy: -4.179 eV per atom
* crystal system: tetragonal
* calculated density: 6.24 g/cm³

***

Record 4
The following is a GGA-PBE calculation of a relaxed NaTlNiSn crystal, from OQMD.

a b c (Å): 4.8368 4.8368 4.8368
angles (deg): 60.00 60.00 60.00
Element x y z (fractional)
Na  0.0000  0.0000  0.0000
Tl  0.2500  0.2500  0.2500
Ni  0.5000  0.5000  0.5000
Sn  0.7500  0.7500  0.7500

Calculated values
* DFT total energy: -3.207 eV per atom
* distance to the lowest polymorph of the same formula: 0.000 eV per atom
* crystal system: cubic
* calculated density: 8.40 g/cm³

***

Record 5
The following is a GGA-PBE calculation of a relaxed NaTlNiSn crystal, from OQMD.

a b c (Å): 4.9572 4.9572 4.9572
angles (deg): 60.00 60.00 60.00
Element x y z (fractional)
Na  0.0000  0.0000  0.0000
Tl  0.5000  0.5000  0.5000
Ni  0.2500  0.2500  0.2500
Sn  0.7500  0.7500  0.7500

Calculated values
* DFT total energy: -2.988 eV per atom
* distance to the lowest polymorph of the same formula: 0.218 eV per atom
* crystal system: cubic
* calculated density: 7.80 g/cm³

***

Record 6
The following is a GGA-PBE calculation of a relaxed Na4ZnNiSn2 crystal, from OQMD.

a b c (Å): 4.8748 4.8748 6.9863
angles (deg): 90.00 90.00 90.00
Element x y z (fractional)
Na  0.0000  0.0000  0.0000
Na  0.0000  0.5000  0.2443
Na  0.5000  0.0000  0.7557
Na  0.5000  0.5000  0.5000
Zn  0.0000  0.0000  0.5000
Ni  0.5000  0.5000  0.0000
Sn  0.0000  0.5000  0.7662
Sn  0.5000  0.0000  0.2338

Calculated values
* DFT total energy: -2.537 eV per atom
* crystal system: tetragonal
* calculated density: 4.54 g/cm³

***

Record 7
The following is a GGA-PBE calculation of a relaxed NaSr3Ni crystal, from OQMD.

a b c (Å): 5.8567 5.8567 5.8567
angles (deg): 90.00 90.00 90.00
Element x y z (fractional)
Na  0.0000  0.0000  0.0000
Sr  0.0000  0.5000  0.5000
Sr  0.5000  0.0000  0.5000
Sr  0.5000  0.5000  0.0000
Ni  0.5000  0.5000  0.5000

Calculated values
* DFT total energy: -2.404 eV per atom
* distance to the lowest polymorph of the same formula: 0.009 eV per atom
* crystal system: cubic
* calculated density: 2.85 g/cm³

***

Record 8
The following is a GGA-PBE calculation of a relaxed NaSr3Ni crystal, from OQMD.

a b c (Å): 4.1853 8.0069 12.4620
angles (deg): 84.75 89.96 74.90
Element x y z (fractional)
Na  0.0542  0.3965  0.3853
Na  0.9458  0.6035  0.6147
Sr  0.1010  0.3001  0.8851
Sr  0.3186  0.8618  0.3823
Sr  0.3491  0.8014  0.8412
Sr  0.6509  0.1986  0.1588
Sr  0.6814  0.1382  0.6177
Sr  0.8990  0.6999  0.1149
Ni  0.2567  0.9863  0.0435
Ni  0.7433  0.0137  0.9565

Calculated values
* DFT total energy: -2.412 eV per atom
* distance to the lowest polymorph of the same formula: 0.000 eV per atom
* crystal system: triclinic
* calculated density: 2.85 g/cm³

***

Record 9
The following is a GGA-PBE calculation of a relaxed Na2Ta2Ni3 crystal, from OQMD.

a b c (Å): 7.4152 7.4152 7.4152
angles (deg): 33.76 33.76 33.76
Element x y z (fractional)
Na  0.0000  0.0000  0.0000
Na  0.4895  0.4895  0.4895
Ta  0.2421  0.2421  0.2421
Ta  0.7435  0.7435  0.7435
Ni  0.3648  0.3648  0.3648
Ni  0.6192  0.6192  0.6192
Ni  0.8721  0.8721  0.8721

Calculated values
* DFT total energy: -5.541 eV per atom
* crystal system: trigonal
* calculated density: 8.64 g/cm³

***

Record 10
The following is a GGA-PBE calculation of a relaxed NaTaNiTe3 crystal, from OQMD.

a b c (Å): 7.8599 7.8599 10.3090
angles (deg): 90.00 90.00 152.51
Element x y z (fractional)
Na  0.2427  0.7573  0.7500
Na  0.7573  0.2427  0.2500
Ta  0.0000  0.0000  0.0000
Ta  0.0000  0.0000  0.5000
Ni  0.4702  0.5298  0.2500
Ni  0.5298  0.4702  0.7500
Te  0.0819  0.9181  0.2500
Te  0.3684  0.6316  0.0583
Te  0.3684  0.6316  0.4417
Te  0.6316  0.3684  0.5583
Te  0.6316  0.3684  0.9417
Te  0.9181  0.0819  0.7500

Calculated values
* DFT total energy: -5.105 eV per atom
* crystal system: orthorhombic
* calculated density: 7.29 g/cm³

***

Record 11
The following is a GGA-PBE calculation of a relaxed NaTaZnNi crystal, from OQMD.

a b c (Å): 4.3707 4.3707 4.3707
angles (deg): 60.00 60.00 60.00
Element x y z (fractional)
Na  0.0000  0.0000  0.0000
Ta  0.2500  0.2500  0.2500
Zn  0.7500  0.7500  0.7500
Ni  0.5000  0.5000  0.5000

Calculated values
* DFT total energy: -4.566 eV per atom
* crystal system: cubic
* calculated density: 9.23 g/cm³

***

Record 12
The following is a GGA-PBE calculation of a relaxed NaTaZnNi crystal, from OQMD.

a b c (Å): 4.4509 4.4509 4.4509
angles (deg): 60.00 60.00 60.00
Element x y z (fractional)
Na  0.0000  0.0000  0.0000
Ta  0.5000  0.5000  0.5000
Zn  0.7500  0.7500  0.7500
Ni  0.2500  0.2500  0.2500

Calculated values
* DFT total energy: -4.568 eV per atom
* crystal system: cubic
* calculated density: 8.74 g/cm³